(1)
DFT (meta-GGA SCAN) results for a crystal of CsMnCl2 relaxed with PBEsol.

The structure in CIF format:
```
data_CsMnCl2
_cell_length_a 6.3217
_cell_length_b 6.3217
_cell_length_c 13.0840
_cell_angle_alpha 90.00
_cell_angle_beta 90.00
_cell_angle_gamma 90.00
_symmetry_space_group_name_H-M 'I -4 2 d'
_symmetry_Int_Tables_number 122
_symmetry_space_group_name_Hall 'I -4 2bw'
loop_
_atom_site_label
_atom_site_fract_x
_atom_site_fract_y
_atom_site_fract_z
_atom_site_occupancy
Cs1 0.0000 0.0000 0.0000 1
Mn1 0.0000 0.0000 0.5000 1
Cl1 0.1067 0.2500 0.6250 1
```

Computed properties:
The calculation puts the density of states at the Fermi level at 6.07 states/eV/cell. The calculation puts the uncorrected formation energy at -1.196 eV/atom. The total energy comes out at -76.81 eV per formula unit. For the spin magnetization, the calculation gives 4.2 μB per formula unit.

***

(2)
DFT (meta-GGA SCAN) results for a crystal of BaSr2Ag2 relaxed with PBEsol.

The structure in CIF format:
```
data_BaSr2Ag2
_cell_length_a 8.5502
_cell_length_b 8.5502
_cell_length_c 4.6515
_cell_angle_alpha 90.00
_cell_angle_beta 90.00
_cell_angle_gamma 90.00
_symmetry_space_group_name_H-M 'P 4/m b m'
_symmetry_Int_Tables_number 127
_symmetry_space_group_name_Hall '-P 4 2ab'
loop_
_atom_site_label
_atom_site_fract_x
_atom_site_fract_y
_atom_site_fract_z
_atom_site_occupancy
Ba1 0.0000 0.0000 0.0000 1
Sr1 0.1650 0.3350 0.5000 1
Ag1 0.1173 0.6173 0.0000 1
```

Computed properties:
The calculation puts the density of states at the Fermi level at 6.07 states/eV/cell. The value obtained for the energy of formation is -0.23 eV per atom. The total energy comes out at -147.99 eV per formula unit. For the spin magnetization, the calculation gives 0.0 μB per formula unit.

***

(3)
DFT (meta-GGA SCAN) results for a crystal of Dy2B6Rh9 relaxed with PBEsol.

The structure in CIF format:
```
data_Dy2B6Rh9
_cell_length_a 5.5276
_cell_length_b 5.5276
_cell_length_c 8.4762
_cell_angle_alpha 90.00
_cell_angle_beta 90.00
_cell_angle_gamma 120.00
_symmetry_space_group_name_H-M 'P 6/m m m'
_symmetry_Int_Tables_number 191
_symmetry_space_group_name_Hall '-P 6 2'
loop_
_atom_site_label
_atom_site_fract_x
_atom_site_fract_y
_atom_site_fract_z
_atom_site_occupancy
Dy1 0.0000 0.0000 0.2054 1
B1 0.3333 0.6667 0.1674 1
B2 0.3333 0.6667 0.5000 1
Rh1 0.0000 0.5000 0.0000 1
Rh2 0.0000 0.5000 0.3358 1
```

Computed properties:
The calculation puts the density of states at the Fermi level at 2.58 states/eV/cell. The value obtained for the energy of formation is -0.76 eV per atom. The total energy comes out at -456.98 eV per formula unit. For the spin magnetization, the calculation gives 0.0 μB per formula unit.

***

(4)
DFT (meta-GGA SCAN) results for a crystal of AlFe3 relaxed with PBEsol.

The structure in CIF format:
```
data_AlFe3
_cell_length_a 5.6540
_cell_length_b 5.6540
_cell_length_c 5.6540
_cell_angle_alpha 90.00
_cell_angle_beta 90.00
_cell_angle_gamma 90.00
_symmetry_space_group_name_H-M 'F m -3 m'
_symmetry_Int_Tables_number 225
_symmetry_space_group_name_Hall '-F 4 2 3'
loop_
_atom_site_label
_atom_site_fract_x
_atom_site_fract_y
_atom_site_fract_z
_atom_site_occupancy
Al1 0.0000 0.0000 0.0000 1
Fe1 0.0000 0.0000 0.5000 1
Fe2 0.2500 0.2500 0.2500 1
```

Computed properties:
The calculation puts the density of states at the Fermi level at 17.57 states/eV/cell. The value obtained for the energy of formation is -0.20 eV per atom. The total energy comes out at -62.96 eV per formula unit. For the spin magnetization, the calculation gives 7.0 μB per formula unit.

***

(5)
DFT (meta-GGA SCAN) results for a crystal of Sr2Ti2Sb relaxed with PBEsol.

The structure in CIF format:
```
data_Sr2Ti2Sb
_cell_length_a 3.6407
_cell_length_b 3.6407
_cell_length_c 21.2863
_cell_angle_alpha 90.00
_cell_angle_beta 90.00
_cell_angle_gamma 90.00
_symmetry_space_group_name_H-M 'I 4/m m m'
_symmetry_Int_Tables_number 139
_symmetry_space_group_name_Hall '-I 4 2'
loop_
_atom_site_label
_atom_site_fract_x
_atom_site_fract_y
_atom_site_fract_z
_atom_site_occupancy
Sr1 0.0000 0.0000 0.1029 1
Ti1 0.0000 0.5000 0.2500 1
Sb1 0.0000 0.0000 0.5000 1
```

Computed properties:
The calculation puts the density of states at the Fermi level at 8.72 states/eV/cell. The calculation puts the uncorrected formation energy at 0.050 eV/atom. The total energy comes out at -113.62 eV per formula unit. For the spin magnetization, the calculation gives 0.0 μB per formula unit.

***

(6)
DFT (meta-GGA SCAN) results for a crystal of TlAgPb2 relaxed with PBEsol.

The structure in CIF format:
```
data_TlAgPb2
_cell_length_a 3.3974
_cell_length_b 3.3974
_cell_length_c 31.0566
_cell_angle_alpha 90.00
_cell_angle_beta 90.00
_cell_angle_gamma 120.00
_symmetry_space_group_name_H-M 'R -3 m'
_symmetry_Int_Tables_number 166
_symmetry_space_group_name_Hall '-R 3 2"'
loop_
_atom_site_label
_atom_site_fract_x
_atom_site_fract_y
_atom_site_fract_z
_atom_site_occupancy
Tl1 0.0000 0.0000 0.0000 1
Ag1 0.0000 0.0000 0.5000 1
Pb1 0.0000 0.0000 0.2411 1
```

Computed properties:
The calculation puts the density of states at the Fermi level at 5.22 states/eV/cell. The value obtained for the energy of formation is 0.09 eV per atom. The total energy comes out at -254.94 eV per formula unit. For the spin magnetization, the calculation gives 0.0 μB per formula unit.

***

(7)
DFT (meta-GGA SCAN) results for a crystal of Tl2CuSb2 relaxed with PBEsol.

The structure in CIF format:
```
data_Tl2CuSb2
_cell_length_a 6.7545
_cell_length_b 6.7545
_cell_length_c 5.8161
_cell_angle_alpha 90.00
_cell_angle_beta 90.00
_cell_angle_gamma 90.00
_symmetry_space_group_name_H-M 'P 4/m b m'
_symmetry_Int_Tables_number 127
_symmetry_space_group_name_Hall '-P 4 2ab'
loop_
_atom_site_label
_atom_site_fract_x
_atom_site_fract_y
_atom_site_fract_z
_atom_site_occupancy
Tl1 0.1758 0.3242 0.0000 1
Cu1 0.0000 0.0000 0.5000 1
Sb1 0.1509 0.6509 0.5000 1
```

Computed properties:
The calculation puts the density of states at the Fermi level at 4.09 states/eV/cell. The calculation puts the uncorrected formation energy at 0.078 eV/atom. The total energy comes out at -234.05 eV per formula unit. For the spin magnetization, the calculation gives 0.0 μB per formula unit.

***

(8)
DFT (meta-GGA SCAN) results for a crystal of YCr2HPb relaxed with PBEsol.

The structure in CIF format:
```
data_YCr2HPb
_cell_length_a 4.3127
_cell_length_b 4.3127
_cell_length_c 4.2512
_cell_angle_alpha 90.00
_cell_angle_beta 90.00
_cell_angle_gamma 90.00
_symmetry_space_group_name_H-M 'P 4/m m m'
_symmetry_Int_Tables_number 123
_symmetry_space_group_name_Hall '-P 4 2'
loop_
_atom_site_label
_atom_site_fract_x
_atom_site_fract_y
_atom_site_fract_z
_atom_site_occupancy
Y1 0.0000 0.0000 0.0000 1
Cr1 0.0000 0.5000 0.5000 1
H1 0.0000 0.0000 0.5000 1
Pb1 0.5000 0.5000 0.0000 1
```

Computed properties:
The calculation puts the density of states at the Fermi level at 4.40 states/eV/cell. The total energy comes out at -143.75 eV per formula unit. For the spin magnetization, the calculation gives 7.2 μB per formula unit.

***

(9)
DFT (meta-GGA SCAN) results for a crystal of Li5FeO3F2 relaxed with PBEsol.

The structure in CIF format:
```
data_Li5FeO3F2
_cell_length_a 9.9040
_cell_length_b 3.6966
_cell_length_c 6.2208
_cell_angle_alpha 90.00
_cell_angle_beta 111.30
_cell_angle_gamma 90.00
_symmetry_space_group_name_H-M 'C 1 m 1'
_symmetry_Int_Tables_number 8
_symmetry_space_group_name_Hall 'C -2y'
loop_
_atom_site_label
_atom_site_fract_x
_atom_site_fract_y
_atom_site_fract_z
_atom_site_occupancy
Li1 0.0000 0.0000 0.0000 1
Li2 0.0161 0.0000 0.5345 1
Li3 0.1085 0.5000 0.3354 1
Li4 0.1523 0.5000 0.7827 1
Li5 0.3106 0.0000 0.1780 1
Fe1 0.3226 0.0000 0.6099 1
O1 0.1640 0.0000 0.3317 1
O2 0.3205 0.5000 0.7060 1
O3 0.4750 0.0000 0.4994 1
F1 0.1488 0.0000 0.8692 1
F2 0.4568 0.0000 0.0413 1
```

Computed properties:
The calculation puts the density of states at the Fermi level at 0.00 states/eV/cell. The calculation puts the uncorrected formation energy at -2.319 eV/atom. The total energy comes out at -81.36 eV per formula unit. For the spin magnetization, the calculation gives 5.0 μB per formula unit.

***

(10)
DFT (meta-GGA SCAN) results for a crystal of FeW3S relaxed with PBEsol.

The structure in CIF format:
```
data_FeW3S
_cell_length_a 4.3471
_cell_length_b 4.3471
_cell_length_c 4.3471
_cell_angle_alpha 90.00
_cell_angle_beta 90.00
_cell_angle_gamma 90.00
_symmetry_space_group_name_H-M 'P m -3 m'
_symmetry_Int_Tables_number 221
_symmetry_space_group_name_Hall '-P 4 2 3'
loop_
_atom_site_label
_atom_site_fract_x
_atom_site_fract_y
_atom_site_fract_z
_atom_site_occupancy
Fe1 0.0000 0.0000 0.0000 1
W1 0.0000 0.5000 0.5000 1
S1 0.5000 0.5000 0.5000 1
```

Computed properties:
The calculation puts the density of states at the Fermi level at 4.45 states/eV/cell. The calculation puts the uncorrected formation energy at 1.169 eV/atom. The total energy comes out at -230.98 eV per formula unit. For the spin magnetization, the calculation gives 3.9 μB per formula unit.